# 1
Sm2Al2HgPd5, relaxed, DFT PBE-GGA; total magnetization = 0.0 μB per cell; mass density = 9.5 Mg/m³; DFT formation energy = -0.67 eV/atom; D(E_F) = 14.509 states/eV per cell; VASP energy = -99.87 eV per cell
1.0
10.1331 0.0000 0.0000
0.0000 10.1331 0.0000
0.0000 0.0000 3.7111
Sm Al Hg Pd
4 4 2 10
direct
0.1804 0.3196 0.0000
0.3196 0.8196 0.0000
0.6804 0.1804 0.0000
0.8196 0.6804 0.0000
0.1166 0.6166 0.0000
0.3834 0.1166 0.0000
0.6166 0.8834 0.0000
0.8834 0.3834 0.0000
0.0000 0.0000 0.0000
0.5000 0.5000 0.0000
0.0000 0.5000 0.5000
0.0646 0.7834 0.5000
0.2166 0.0646 0.5000
0.2834 0.5646 0.5000
0.4354 0.2834 0.5000
0.5000 0.0000 0.5000
0.5646 0.7166 0.5000
0.7166 0.4354 0.5000
0.7834 0.9354 0.5000
0.9354 0.2166 0.5000

=====

# 2
Tb2Dy4Th, relaxed, DFT PBE-GGA; total magnetization = 0.0 μB per cell; relative energy among the computed polymorphs = 0.0000 eV/atom; mass density = 8.9 Mg/m³; DFT formation energy = 0.02 eV/atom; D(E_F) = 11.940 states/eV per cell; VASP energy = -34.94 eV per cell
1.0
1.7946 1.0361 20.0593
-1.7946 1.0361 20.0593
0.0000 -2.0723 20.0593
Tb Dy Th
2 4 1
direct
0.0000 0.0000 0.0000
0.0948 0.0948 0.0948
0.1896 0.1896 0.1896
0.2857 0.2857 0.2857
0.7141 0.7141 0.7141
0.8089 0.8089 0.8089
0.9042 0.9042 0.9042

=====

# 3
Re2Rh2Au, relaxed, DFT PBE-GGA; total magnetization = 0.0 μB per cell; mass density = 16.1 Mg/m³; DFT formation energy = 0.22 eV/atom; D(E_F) = 6.211 states/eV per cell; VASP energy = -83.59 eV per cell
1.0
7.6440 0.0000 0.0000
0.0000 7.6440 0.0000
0.0000 0.0000 2.7386
Re Rh Au
4 4 2
direct
0.1190 0.3810 0.0000
0.3810 0.8810 0.0000
0.6190 0.1190 0.0000
0.8810 0.6190 0.0000
0.1692 0.6692 0.5000
0.3308 0.1692 0.5000
0.6692 0.8308 0.5000
0.8308 0.3308 0.5000
0.0000 0.0000 0.0000
0.5000 0.5000 0.0000

=====

# 4
LiAcSi2, relaxed, DFT PBE-GGA; total magnetization = 0.0 μB per cell; relative energy among the computed polymorphs = 0.0000 eV/atom; mass density = 5.4 Mg/m³; D(E_F) = 3.086 states/eV per cell; VASP energy = -76.26 eV per cell
1.0
7.1326 0.0000 0.0000
0.0000 4.4194 0.0000
0.0000 0.0000 11.2956
Li Ac Si
4 4 8
direct
0.1272 0.2500 0.0607
0.3728 0.7500 0.5607
0.6272 0.2500 0.4393
0.8728 0.7500 0.9393
0.1392 0.2500 0.3538
0.3608 0.7500 0.8538
0.6392 0.2500 0.1462
0.8608 0.7500 0.6462
0.0308 0.2500 0.8373
0.1953 0.2500 0.6500
0.3047 0.7500 0.1500
0.4692 0.7500 0.3373
0.5308 0.2500 0.6627
0.6953 0.2500 0.8500
0.8047 0.7500 0.3500
0.9692 0.7500 0.1627

=====

# 5
US6Br2, relaxed, DFT PBE-GGA; total magnetization = 2.0 μB per cell; mass density = 3.4 Mg/m³; D(E_F) = 6.217 states/eV per cell; VASP energy = -42.76 eV per cell
1.0
4.4089 0.0000 0.0000
0.1059 7.9965 0.0000
1.7611 2.7786 8.1281
U S Br
1 6 2
direct
0.0000 0.0000 0.0000
0.0085 0.1042 0.6793
0.0190 0.6903 0.6698
0.2551 0.8804 0.6982
0.7449 0.1196 0.3018
0.9810 0.3097 0.3302
0.9915 0.8958 0.3207
0.4984 0.7498 0.0627
0.5016 0.2502 0.9373

=====

# 6
Np2Rh4Au, relaxed, DFT PBE-GGA; total magnetization = 11.0 μB per cell; mass density = 14.2 Mg/m³; DFT formation energy = -0.23 eV/atom; D(E_F) = 19.865 states/eV per cell; VASP energy = -120.34 eV per cell
1.0
5.6075 0.0000 0.0000
0.0000 8.7841 0.0000
-2.5197 0.0000 5.1395
Np Rh Au
4 8 2
direct
0.1196 0.9999 0.2767
0.1196 0.5001 0.7767
0.8804 0.0001 0.7233
0.8804 0.4999 0.2233
0.2612 0.2284 0.5428
0.2612 0.2716 0.0428
0.2634 0.7278 0.0442
0.2634 0.7722 0.5442
0.7366 0.2278 0.4558
0.7366 0.2722 0.9558
0.7388 0.7284 0.9572
0.7388 0.7716 0.4572
0.5000 0.0000 0.0000
0.5000 0.5000 0.5000

=====

# 7
ZrV2S6, relaxed, DFT PBE-GGA; total magnetization = 0.0 μB per cell; mass density = 3.5 Mg/m³; D(E_F) = 2.712 states/eV per cell; VASP energy = -58.96 eV per cell
1.0
5.8445 -2.1195 0.0000
5.8445 2.1195 0.0000
-4.1540 0.0000 7.4801
Zr V S
1 2 6
direct
0.0000 0.0000 0.0000
0.1437 0.1437 0.5737
0.8563 0.8563 0.4263
0.0309 0.0309 0.7178
0.2996 0.2996 0.4543
0.3497 0.3497 0.8731
0.6503 0.6503 0.1269
0.7004 0.7004 0.5457
0.9691 0.9691 0.2822

=====

# 8
Na2Li2Tl, relaxed, DFT PBE-GGA; total magnetization = 0.0 μB per cell; relative energy among the computed polymorphs = 0.0000 eV/atom; mass density = 3.5 Mg/m³; DFT formation energy = -0.10 eV/atom; D(E_F) = 3.819 states/eV per cell; VASP energy = -18.67 eV per cell
1.0
11.3157 -2.2717 0.0000
11.3157 2.2717 0.0000
-0.0185 0.0000 4.8959
Na Li Tl
4 4 2
direct
0.0674 0.0674 0.2488
0.4318 0.4318 0.2518
0.5682 0.5682 0.7482
0.9326 0.9326 0.7512
0.1751 0.1751 0.7501
0.2508 0.2508 0.2512
0.7492 0.7492 0.7488
0.8249 0.8249 0.2499
0.3254 0.3254 0.7520
0.6746 0.6746 0.2480

=====

# 9
TbHoAgRh, relaxed, DFT PBE-GGA; total magnetization = 0.0 μB per cell; relative energy among the computed polymorphs = 0.0000 eV/atom; mass density = 10.1 Mg/m³; DFT formation energy = -0.59 eV/atom; D(E_F) = 4.175 states/eV per cell; VASP energy = -21.79 eV per cell
1.0
3.5097 0.0000 0.0000
0.0000 3.5097 0.0000
0.0000 0.0000 7.1675
Tb Ho Ag Rh
1 1 1 1
direct
0.0000 0.0000 0.0000
0.0000 0.0000 0.5409
0.5000 0.5000 0.2750
0.5000 0.5000 0.7673

=====

# 10
HgRh3, relaxed, DFT PBE-GGA; total magnetization = 0.0 μB per cell; mass density = 13.4 Mg/m³; DFT formation energy = 0.14 eV/atom; D(E_F) = 5.060 states/eV per cell; VASP energy = -21.78 eV per cell
1.0
2.8322 0.0000 0.0000
0.0000 2.8322 0.0000
0.0000 0.0000 7.8631
Hg Rh
1 3
direct
0.0000 0.0000 0.0000
0.0000 0.0000 0.5000
0.5000 0.5000 0.2730
0.5000 0.5000 0.7270

=====

# 11
Mn5As3, relaxed, DFT PBE-GGA; total magnetization = 13.5 μB per cell; mass density = 7.3 Mg/m³; DFT formation energy = -0.02 eV/atom; D(E_F) = 6.948 states/eV per cell; VASP energy = -59.93 eV per cell
1.0
3.4626 -4.4140 0.0000
3.4626 4.4140 0.0000
0.0000 0.0000 3.6947
Mn As
5 3
direct
0.0000 0.0000 0.0000
0.0000 0.5000 0.0000
0.2776 0.2776 0.5000
0.5000 0.0000 0.0000
0.7224 0.7224 0.5000
0.1907 0.8093 0.5000
0.5000 0.5000 0.0000
0.8093 0.1907 0.5000

=====

# 12
NaEr2TeO6, relaxed, DFT PBE-GGA; total magnetization = 0.9 μB per cell; mass density = 6.7 Mg/m³; D(E_F) = 2.425 states/eV per cell; VASP energy = -67.24 eV per cell
1.0
2.8694 1.6567 5.0485
-2.8694 1.6567 5.0485
0.0000 -3.3133 5.0485
Na Er Te O
1 2 1 6
direct
0.0000 0.0000 0.0000
0.2690 0.2690 0.2690
0.7799 0.7799 0.7799
0.4745 0.4745 0.4745
0.1048 0.6426 0.4112
0.1973 0.5598 0.8614
0.4112 0.1048 0.6426
0.5598 0.8614 0.1973
0.6426 0.4112 0.1048
0.8614 0.1973 0.5598